An optimized crystal structure of BeZn2Au. Source: Alexandria, functional PBE.

The calculation puts the calculated formation energy at -0.007 eV per atom. The volume is 110.8 Å³ per cell. Its raw total energy is -2.39 eV/atom.

Lattice parameters (Å, degrees): 3.6774 3.8192 7.8903 90.00 90.00 90.00
Space group Immm (No. 71)
One atom of each set of equivalent atoms:
Be 0.0000 0.0000 0.0000 [2 per cell]
Zn 0.0000 0.5000 0.2523 [4 per cell]
Au 0.0000 0.0000 0.5000 [2 per cell]